First-principles (PBEsol) data for a geometry-optimized LaTaAl structure, as listed in Alexandria.

Output
- Total magnetization: 0.000 μB/atom
- Energy relative to the elements: 0.112 eV/atom
- Offset from the most stable computed form: 0.0 kJ/mol of atoms

Cell lengths 2.992, 2.992, 7.391 Å; angles 101.68, 101.68, 90.00 degrees
Atoms (fractional coordinates):
Al 0.984 0.984 0.968
La 0.664 0.664 0.327
Ta 0.352 0.352 0.705